This record from the Alexandria database describes a relaxed GeI3Cl crystal. The functional is PBE.

The structure in POSCAR format:
```
GeI3Cl
1.0
-1.207 5.572 0.146
-5.412 -1.135 -1.395
-1.334 -0.434 5.527
Cl I Ge
1 3 1
Direct
0.500 0.500 0.500
0.500 0.000 0.000
0.000 0.500 0.000
0.000 0.000 0.500
0.000 0.000 0.000
```

Spin magnetization = 0.29 μB per atom
Energy relative to the elements, uncorrected = 0.173 eV per atom
ΔE to the lowest computed polymorph = 602 meV/atom

This record from the Alexandria database describes a relaxed CsPuIn2Bi2 crystal. The functional is PBE.

The structure in POSCAR format:
```
CsPuIn2Bi2
1.0
-0.431 -5.020 1.917
4.565 2.776 0.715
-3.228 3.283 7.873
Cs In Bi Pu
1 2 2 1
Direct
0.000 0.000 0.000
0.333 0.667 0.647
0.667 0.333 0.353
0.667 0.333 0.710
0.333 0.667 0.290
0.000 0.000 0.500
```

Formation energy = -0.18 eV/atom
Spin magnetization = 1.07 μB per atom

This record from the Alexandria database describes a relaxed HfMnRhAu2 crystal. The functional is PBE.

The structure in POSCAR format:
```
HfMnRhAu2
1.0
5.105 0.000 0.000
0.000 4.639 0.000
0.000 0.000 5.105
Rh Mn Au Hf
1 1 2 1
Direct
0.000 0.000 0.000
0.500 0.500 0.500
0.000 0.000 0.500
0.500 0.000 0.000
0.000 0.500 0.000
```

Formation energy = 0.69 eV/atom
Spin magnetization = 0.91 μB per atom

This record from the Alexandria database describes a relaxed LaPbCl crystal. The functional is PBE.

The structure in POSCAR format:
```
LaPbCl
1.0
-5.140 0.969 1.018
-2.054 -1.241 4.758
-1.359 3.866 3.406
Pb Cl La
1 1 1
Direct
0.000 0.000 0.000
0.500 0.500 0.500
0.750 0.750 0.750
```

Spin magnetization = 0.67 μB per atom
Energy relative to the elements, uncorrected = -0.584 eV per atom
ΔE to the lowest computed polymorph = 607 meV/atom

This record from the Alexandria database describes a relaxed NiSn3W crystal. The functional is PBE.

The structure in POSCAR format:
```
NiSn3W
1.0
-4.205 -2.300 1.015
2.395 -4.267 0.252
0.766 0.712 4.786
Sn Ni W
3 1 1
Direct
0.000 0.000 0.500
0.000 0.500 0.000
0.500 0.000 0.000
0.000 0.000 0.000
0.500 0.500 0.500
```

Formation energy = 1.00 eV/atom
Spin magnetization = 0.67 μB per atom
ΔE to the lowest computed polymorph = 0 meV/atom

This record from the Alexandria database describes a relaxed RbTa2Pt2 crystal. The functional is PBE.

The structure in POSCAR format:
```
RbTa2Pt2
1.0
-2.039 -4.392 0.480
3.028 -1.005 3.674
-2.782 -0.826 5.289
Pt Ta Rb
2 2 1
Direct
0.250 0.750 0.500
0.750 0.250 0.500
0.356 0.356 0.287
0.644 0.644 0.713
0.000 0.000 0.000
```

Formation energy = 0.29 eV/atom
Spin magnetization = 0.00 μB per atom
ΔE to the lowest computed polymorph = 309 meV/atom

What volume values result from the calculations? In sequence: 37.091; 38.251; 24.177; 35.666; 23.519; 23.462 Å³ per atom.
What electronic total energy values result from the calculations? In sequence: -2.050; -4.919; -5.912; -4.078; -5.152; -7.056 eV per atom.